1.
Ho2VIr | Alexandria | PBE-GGA | optimized geometry; total DFT energy (no corrections) = -0.47029 Ry per atom; magnetization = 2.59 μB/cell; ρ = 10.16 g/cm³
1.0
-1.312 2.345 -1.939
-2.352 -0.791 -2.196
-8.146 2.259 5.414
Ir Ho V
1 2 1
direct
0.500 0.500 0.500
0.903 0.903 0.291
0.097 0.097 0.709
0.000 0.000 0.000

---

2.
HoVIr | Alexandria | PBE-GGA | optimized geometry; total DFT energy (no corrections) = -0.56892 Ry per atom; magnetization = 0.00 μB/cell; ρ = 11.52 g/cm³
1.0
-5.163 2.378 -0.842
-4.822 -4.089 -1.587
-4.084 0.329 6.359
V Ho Ir
4 4 4
direct
0.585 0.500 0.831
0.165 0.000 0.669
0.835 0.000 0.331
0.915 0.500 0.169
0.363 0.500 0.275
0.137 0.500 0.725
0.613 0.000 0.775
0.387 0.000 0.225
0.887 0.226 0.000
0.113 0.774 0.000
0.863 0.274 0.500
0.637 0.726 0.500